(1)
NaAcGa3: relaxed, PBE.

- Total magnetic moment: 0.000 μB per cell
- Formation energy: -0.372 eV per atom
- DOS at the Fermi energy: 0.462 states/eV per atom

abc: 13.3174 13.3174 4.3767
angles: 90.00 90.00 159.93
Last column: nearest neighbours and their distance in Å.
Element x y z (fractional)
Na (0.2086, 0.7914, 0.7500)  7 Ga 3.14-3.33
Na (0.7914, 0.2086, 0.2500)  7 Ga 3.14-3.33
Ac (0.0733, 0.9267, 0.2500)  12 Ga 3.44-3.47
Ac (0.9267, 0.0733, 0.7500)  12 Ga 3.44-3.47
Ga (0.3283, 0.6717, 0.7500)  2 Ga 2.54
Ga (0.3777, 0.6223, 0.2500)  3 Ga 2.54-2.57
Ga (0.4755, 0.5245, 0.2500)  3 Ga 2.54-2.57
Ga (0.5245, 0.4755, 0.7500)  3 Ga 2.54-2.57
Ga (0.6223, 0.3777, 0.7500)  3 Ga 2.54-2.57
Ga (0.6717, 0.3283, 0.2500)  2 Ga 2.54

=====

(2)
NaAc4Ga4: relaxed, PBE.

- Total magnetic moment: 0.351 μB per cell
- Formation energy: -0.262 eV per atom
- DOS at the Fermi energy: 1.102 states/eV per atom

abc: 9.4175 9.4175 6.5906
angles: 90.00 90.00 90.00
Last column: nearest neighbours and their distance in Å.
Element x y z (fractional)
Na (0.2500, 0.2500, 0.2500)  4 Ga 2.87
Na (0.7500, 0.7500, 0.7500)  4 Ga 2.87
Ac (0.0504, 0.6702, 0.1062)  5 Ga 3.14-3.45
Ac (0.1702, 0.9496, 0.6062)  5 Ga 3.14-3.45
Ac (0.3298, 0.5504, 0.6062)  5 Ga 3.14-3.45
Ac (0.4496, 0.8298, 0.1062)  5 Ga 3.14-3.45
Ac (0.5504, 0.1702, 0.8938)  5 Ga 3.14-3.45
Ac (0.6702, 0.4496, 0.3938)  5 Ga 3.14-3.45
Ac (0.8298, 0.0504, 0.3938)  5 Ga 3.14-3.45
Ac (0.9496, 0.3298, 0.8938)  5 Ga 3.14-3.45
Ga (0.0045, 0.6227, 0.5950)  1 Ga 2.63, 1 Na 2.87
Ga (0.1227, 0.9955, 0.0950)  1 Ga 2.63, 1 Na 2.87
Ga (0.3773, 0.5045, 0.0950)  1 Ga 2.63, 1 Na 2.87
Ga (0.4955, 0.8773, 0.5950)  1 Ga 2.63, 1 Na 2.87
Ga (0.5045, 0.1227, 0.4050)  1 Ga 2.63, 1 Na 2.87
Ga (0.6227, 0.4955, 0.9050)  1 Ga 2.63, 1 Na 2.87
Ga (0.8773, 0.0045, 0.9050)  1 Ga 2.63, 1 Na 2.87
Ga (0.9955, 0.3773, 0.4050)  1 Ga 2.63, 1 Na 2.87

=====

(3)
NaAcGa4: relaxed, PBE.

- Total magnetic moment: 0.000 μB per cell
- Formation energy: -0.305 eV per atom
- DOS at the Fermi energy: 0.423 states/eV per atom

abc: 5.7702 5.7702 5.7702
angles: 60.00 60.00 60.00
Last column: nearest neighbours and their distance in Å.
Element x y z (fractional)
Na (0.0000, 0.0000, 0.0000)  12 Ga 3.38, 4 Ac 3.53
Ac (0.7500, 0.7500, 0.7500)  12 Ga 3.38, 4 Na 3.53
Ga (0.3752, 0.3752, 0.3752)  6 Ga 2.88-2.89
Ga (0.3752, 0.3752, 0.8745)  6 Ga 2.88-2.89
Ga (0.3752, 0.8745, 0.3752)  6 Ga 2.88-2.89
Ga (0.8745, 0.3752, 0.3752)  6 Ga 2.88-2.89

=====

(4)
NaAc2Ga: relaxed, PBE.

- Total magnetic moment: 0.000 μB per cell
- Formation energy: -0.159 eV per atom
- DOS at the Fermi energy: 0.714 states/eV per atom

abc: 3.9734 3.9734 8.9339
angles: 90.00 90.00 90.00
Last column: nearest neighbours and their distance in Å.
Element x y z (fractional)
Na (0.0000, 0.0000, 0.0000)  8 Ac 3.84, 4 Na 3.97
Ac (0.5000, 0.5000, 0.2937)  4 Ga 3.36, 1 Ac 3.69
Ac (0.5000, 0.5000, 0.7063)  4 Ga 3.36, 1 Ac 3.69
Ga (0.0000, 0.0000, 0.5000)  8 Ac 3.36

=====

(5)
Na4Ac3GaO8: relaxed, PBE.

- Total magnetic moment: 0.000 μB per cell
- DOS at the Fermi energy: 0.000 states/eV per atom
- Formation energy without anion corrections: -35.6 eV per formula unit

abc: 7.3569 7.3569 6.8592
angles: 115.89 115.89 57.96
Last column: nearest neighbours and their distance in Å.
Element x y z (fractional)
Na (0.0000, 0.0000, 0.0000)  2 O 2.28
Na (0.0000, 0.5000, 0.5000)  4 O 2.49-2.58
Na (0.5000, 0.0000, 0.5000)  4 O 2.49-2.58
Na (0.5000, 0.5000, 0.0000)  4 O 2.51
Ac (0.0000, 0.0000, 0.5000)  6 O 2.49-2.57
Ac (0.0000, 0.5000, 0.0000)  6 O 2.47-2.59
Ac (0.5000, 0.0000, 0.0000)  6 O 2.47-2.59
Ga (0.5000, 0.5000, 0.5000)  4 O 1.98
O (0.2042, 0.2042, 0.1947)  1 Na 2.28, 2 Ac 2.47
O (0.2229, 0.2229, 0.7239)  3 Ac 2.49, 2 Na 2.49
O (0.2785, 0.6742, 0.2780)  1 Ga 1.98
O (0.3258, 0.7215, 0.7220)  1 Ga 1.98
O (0.6742, 0.2785, 0.2780)  1 Ga 1.98
O (0.7215, 0.3258, 0.7220)  1 Ga 1.98
O (0.7771, 0.7771, 0.2761)  3 Ac 2.49, 2 Na 2.49
O (0.7958, 0.7958, 0.8053)  1 Na 2.28, 2 Ac 2.47

=====

(6)
NaAc2GaO6: relaxed, PBE.

- Total magnetic moment: 2.035 μB per cell
- DOS at the Fermi energy: 0.675 states/eV per atom
- Formation energy without anion corrections: -21.4 eV per formula unit

abc: 5.7211 5.7211 4.0979
angles: 90.00 90.00 90.00
Last column: nearest neighbours and their distance in Å.
Element x y z (fractional)
Na (0.0000, 0.0000, 0.0000)  6 O 2.05-2.13
Ac (0.0000, 0.5000, 0.4991)  12 O 2.86-2.89
Ac (0.5000, 0.0000, 0.4991)  12 O 2.86-2.89
Ga (0.5000, 0.5000, 0.0005)  6 O 1.91-2.05
O (0.0000, 0.0000, 0.5002)  2 Na 2.05
O (0.2634, 0.2634, 0.0017)  1 Ga 1.91, 1 Na 2.13
O (0.2634, 0.7366, 0.0017)  1 Ga 1.91, 1 Na 2.13
O (0.5000, 0.5000, 0.5013)  2 Ga 2.05
O (0.7366, 0.2634, 0.0017)  1 Ga 1.91, 1 Na 2.13
O (0.7366, 0.7366, 0.0017)  1 Ga 1.91, 1 Na 2.13